No. 1
VASP calculation (PBE) on a geometry-optimized Rb12Hg3H5 structure.

Results
**Calculated total energy**: -1.503 eV/atom

Cell lengths 16.6703, 16.6703, 16.6703 Å; angles 109.47, 109.47, 109.47 degrees
Site moments in Bohr magnetons follow the coordinates.
Positions (direct):
Rb: 0.1986 0.6819 0.0818  0.01
Rb: 0.0818 0.1819 0.1986  0.01
Rb: 0.5818 0.6986 0.6819  0.01
Rb: 0.5166 0.1986 0.1167  0.01
Rb: 0.9182 0.8181 0.8014  0.01
Rb: 0.3999 0.0166 0.3181  0.01
Rb: 0.6167 0.6001 0.9182  0.01
Rb: 0.8999 0.0818 0.8833  0.01
Rb: 0.3014 0.4182 0.8181  0.01
Rb: 0.8833 0.3014 0.4834  0.01
Rb: 0.9182 0.1001 0.6167  0.01
Rb: 0.3014 0.8833 0.9834  0.01
Rb: 0.6167 0.0166 0.1986  0.01
Rb: 0.3833 0.3999 0.0818  0.01
Rb: 0.8833 0.5818 0.8999  0.01
Rb: 0.1167 0.6986 0.5166  0.01
Rb: 0.8181 0.8999 0.0166  0.01
Rb: 0.3181 0.5166 0.3999  0.01
Rb: 0.8999 0.8181 0.5166  0.01
Rb: 0.6819 0.1986 0.5818  0.01
Rb: 0.0166 0.6167 0.6986  0.01
Rb: 0.4834 0.6819 0.1001  0.01
Rb: 0.9834 0.3833 0.3014  0.01
Rb: 0.6986 0.1167 0.0166  0.01
Rb: 0.0166 0.3999 0.8181  0.01
Rb: 0.1986 0.5166 0.6167  0.01
Rb: 0.0818 0.8999 0.3833  0.01
Rb: 0.5166 0.3181 0.8999  0.01
Rb: 0.8181 0.9182 0.3014  0.01
Rb: 0.1167 0.4182 0.1001  0.01
Rb: 0.4182 0.3014 0.3181  0.01
Rb: 0.6819 0.4834 0.6001  0.01
Rb: 0.1001 0.1819 0.4834  0.01
Rb: 0.4834 0.8014 0.8833  0.01
Rb: 0.1819 0.1001 0.9834  0.01
Rb: 0.6001 0.6167 0.4182  0.01
Rb: 0.3181 0.8014 0.4182  0.01
Rb: 0.3833 0.9834 0.8014  0.01
Rb: 0.5818 0.8833 0.3999  0.01
Rb: 0.8014 0.4834 0.3833  0.01
Rb: 0.1001 0.9182 0.1167  0.01
Rb: 0.1819 0.0818 0.6986  0.01
Rb: 0.3999 0.3833 0.5818  0.01
Rb: 0.8014 0.3181 0.9182  0.01
Rb: 0.6986 0.5818 0.1819  0.01
Rb: 0.9834 0.6001 0.1819  0.01
Rb: 0.4182 0.1167 0.6001  0.01
Rb: 0.6001 0.9834 0.6819  0.01
H: 0.5000 0.0000 0.5000  0.00
H: 0.5000 0.5000 0.5000  0.00
H: 0.6250 0.8750 0.2500  0.01
H: 0.5000 0.5000 0.0000  0.00
H: 0.2500 0.3750 0.6250  0.01
H: 0.7500 0.1250 0.8750  0.01
H: 0.1250 0.3750 0.2500  0.01
H: 0.5000 0.0000 0.0000  0.00
H: 0.3750 0.1250 0.7500  0.01
H: 0.7500 0.6250 0.3750  0.01
H: 0.8750 0.6250 0.7500  0.01
H: 0.0000 0.0000 0.0000  0.00
H: 0.0000 0.5000 0.5000  0.00
H: 0.3750 0.2500 0.1250  0.01
H: 0.0000 0.0000 0.5000  0.00
H: 0.1250 0.7500 0.3750  0.01
H: 0.0000 0.5000 0.0000  0.00
H: 0.8750 0.2500 0.6250  0.01
H: 0.6250 0.7500 0.8750  0.01
H: 0.2500 0.8750 0.1250  0.01
Hg: 0.8750 0.1250 0.2500  0.05
Hg: 0.6250 0.3750 0.7500  0.05
Hg: 0.3750 0.6250 0.2500  0.05
Hg: 0.7500 0.8750 0.6250  0.05
Hg: 0.7500 0.3750 0.1250  0.05
Hg: 0.2500 0.1250 0.3750  0.05
Hg: 0.3750 0.7500 0.6250  0.05
Hg: 0.1250 0.8750 0.7500  0.05
Hg: 0.2500 0.6250 0.8750  0.05
Hg: 0.8750 0.7500 0.1250  0.05
Hg: 0.1250 0.2500 0.8750  0.05
Hg: 0.6250 0.2500 0.3750  0.05

---

No. 2
VASP calculation (PBE) on a geometry-optimized MgZr3Ge structure.

Results
**Energy of formation from the pure elements**: 0.17 eV/atom
**Calculated total energy**: -6.198 eV/atom

Cell lengths 5.0679, 5.0679, 5.0679 Å; angles 90.00, 90.00, 90.00 degrees
Positions (direct):
Ge: 0.0000 0.0000 0.0000
Mg: 0.5000 0.5000 0.5000
Zr: 0.5000 0.0000 0.0000
Zr: 0.0000 0.0000 0.5000
Zr: 0.0000 0.5000 0.0000

---

no.,Fermi-level density of states (states/eV per atom)
1,0.795
2,0.722